No. 1
The following is a DFT calculation (GGA-PBE) of Pd2PtPb after structural relaxation.

a b c (Å): 3.4840 3.4840 5.8716
angles (deg): 90.00 90.00 90.00
Sites, in units of the cell vectors:
Pd (0.0000, 0.0000, 0.2387)
Pd (0.0000, 0.0000, 0.7613)
Pt (0.5000, 0.5000, 0.0000)
Pb (0.5000, 0.5000, 0.5000)

Formation energy from the elements, meV per atom: -67
Energy above the lowest structure with this stoichiometry, meV/atom: 174
Density, g cm⁻³: 14.332



No. 2
The following is a DFT calculation (GGA-PBE) of ZnPd3I after structural relaxation.

a b c (Å): 4.7231 4.7231 4.7231
angles (deg): 90.00 90.00 90.00
Sites, in units of the cell vectors:
Zn (0.0000, 0.0000, 0.0000)
Pd (0.0000, 0.0000, 0.5000)
Pd (0.0000, 0.5000, 0.0000)
Pd (0.5000, 0.0000, 0.0000)
I (0.5000, 0.5000, 0.5000)

Energy above the lowest structure with this stoichiometry, meV/atom: 0
Energy relative to the elements, uncorrected, meV per atom: 340
Density, g cm⁻³: 8.063



No. 3
The following is a DFT calculation (GGA-PBE) of U3Pd5S12 after structural relaxation.

a b c (Å): 12.7684 12.7684 12.7684
angles (deg): 109.47 109.47 109.47
Sites, in units of the cell vectors:
U (0.1250, 0.2500, 0.3750)
U (0.1250, 0.3750, 0.7500)
U (0.2500, 0.3750, 0.1250)
U (0.2500, 0.8750, 0.6250)
U (0.3750, 0.1250, 0.2500)
U (0.3750, 0.7500, 0.1250)
U (0.6250, 0.2500, 0.8750)
U (0.6250, 0.8750, 0.7500)
U (0.7500, 0.1250, 0.3750)
U (0.7500, 0.6250, 0.8750)
U (0.8750, 0.6250, 0.2500)
U (0.8750, 0.7500, 0.6250)
Pd (0.0000, 0.0000, 0.0000)
Pd (0.0000, 0.0000, 0.5000)
Pd (0.0000, 0.5000, 0.0000)
Pd (0.0000, 0.5000, 0.5000)
Pd (0.1250, 0.7500, 0.8750)
Pd (0.1250, 0.8750, 0.2500)
Pd (0.2500, 0.1250, 0.8750)
Pd (0.2500, 0.6250, 0.3750)
Pd (0.3750, 0.2500, 0.6250)
Pd (0.3750, 0.6250, 0.7500)
Pd (0.5000, 0.0000, 0.0000)
Pd (0.5000, 0.0000, 0.5000)
Pd (0.5000, 0.5000, 0.0000)
Pd (0.5000, 0.5000, 0.5000)
Pd (0.6250, 0.3750, 0.2500)
Pd (0.6250, 0.7500, 0.3750)
Pd (0.7500, 0.3750, 0.6250)
Pd (0.7500, 0.8750, 0.1250)
Pd (0.8750, 0.1250, 0.7500)
Pd (0.8750, 0.2500, 0.1250)
S (0.0449, 0.2160, 0.1289)
S (0.0449, 0.3289, 0.9160)
S (0.0840, 0.6289, 0.4129)
S (0.0840, 0.9551, 0.6711)
S (0.0871, 0.7160, 0.6711)
S (0.0871, 0.8711, 0.4160)
S (0.1289, 0.0449, 0.2160)
S (0.1289, 0.5840, 0.9129)
S (0.1711, 0.2160, 0.5871)
S (0.1711, 0.4551, 0.5840)
S (0.2160, 0.1289, 0.0449)
S (0.2160, 0.5871, 0.1711)
S (0.2840, 0.3289, 0.9129)
S (0.2840, 0.4551, 0.3711)
S (0.3289, 0.9129, 0.2840)
S (0.3289, 0.9160, 0.0449)
S (0.3711, 0.2840, 0.4551)
S (0.3711, 0.5871, 0.9160)
S (0.4129, 0.0840, 0.6289)
S (0.4129, 0.8289, 0.7840)
S (0.4160, 0.0871, 0.8711)
S (0.4160, 0.8289, 0.5449)
S (0.4551, 0.3711, 0.2840)
S (0.4551, 0.5840, 0.1711)
S (0.5449, 0.4160, 0.8289)
S (0.5449, 0.6289, 0.7160)
S (0.5840, 0.1711, 0.4551)
S (0.5840, 0.9129, 0.1289)
S (0.5871, 0.1711, 0.2160)
S (0.5871, 0.9160, 0.3711)
S (0.6289, 0.4129, 0.0840)
S (0.6289, 0.7160, 0.5449)
S (0.6711, 0.0840, 0.9551)
S (0.6711, 0.0871, 0.7160)
S (0.7160, 0.5449, 0.6289)
S (0.7160, 0.6711, 0.0871)
S (0.7840, 0.4129, 0.8289)
S (0.7840, 0.8711, 0.9551)
S (0.8289, 0.5449, 0.4160)
S (0.8289, 0.7840, 0.4129)
S (0.8711, 0.4160, 0.0871)
S (0.8711, 0.9551, 0.7840)
S (0.9129, 0.1289, 0.5840)
S (0.9129, 0.2840, 0.3289)
S (0.9160, 0.0449, 0.3289)
S (0.9160, 0.3711, 0.5871)
S (0.9551, 0.6711, 0.0840)
S (0.9551, 0.7840, 0.8711)

Energy relative to the elements, uncorrected, meV per atom: -713
Density, g cm⁻³: 6.760



No. 4
The following is a DFT calculation (GGA-PBE) of SiSbW2 after structural relaxation.

a b c (Å): 9.5988 9.5988 9.5988
angles (deg): 155.49 155.49 34.94
Sites, in units of the cell vectors:
Si (0.0000, 0.0000, 0.0000)
Si (0.7500, 0.2500, 0.5000)
Sb (0.2500, 0.7500, 0.5000)
Sb (0.5000, 0.5000, 0.0000)
W (0.0682, 0.6250, 0.9432)
W (0.3750, 0.3182, 0.4432)
W (0.6818, 0.1250, 0.0568)
W (0.8750, 0.9318, 0.5568)

Energy above the lowest structure with this stoichiometry, meV/atom: 546
Energy relative to the elements, uncorrected, meV per atom: 713
Density, g cm⁻³: 11.301



No. 5
The following is a DFT calculation (GGA-PBE) of BeGeBr4 after structural relaxation.

a b c (Å): 6.2504 6.2504 10.2694
angles (deg): 90.00 90.00 86.84
Sites, in units of the cell vectors:
Be (0.1271, 0.8729, 0.7500)
Be (0.8729, 0.1271, 0.2500)
Ge (0.4890, 0.5110, 0.2500)
Ge (0.5110, 0.4890, 0.7500)
Br (0.1595, 0.2144, 0.7500)
Br (0.2144, 0.1595, 0.2500)
Br (0.2920, 0.7080, 0.5800)
Br (0.2920, 0.7080, 0.9200)
Br (0.7080, 0.2920, 0.0800)
Br (0.7080, 0.2920, 0.4200)
Br (0.7856, 0.8405, 0.7500)
Br (0.8405, 0.7856, 0.2500)

Energy relative to the elements, uncorrected, meV per atom: -725
Density, g cm⁻³: 3.327



No. 6
The following is a DFT calculation (GGA-PBE) of Y5Te4Se after structural relaxation.

a b c (Å): 16.1315 16.1315 16.1315
angles (deg): 164.90 164.90 21.42
Sites, in units of the cell vectors:
Y (0.0000, 0.0000, 0.0000)
Y (0.2126, 0.2126, 0.0000)
Y (0.4133, 0.4133, 0.0000)
Y (0.5867, 0.5867, 0.0000)
Y (0.7874, 0.7874, 0.0000)
Te (0.1020, 0.1020, 0.0000)
Te (0.3104, 0.3104, 0.0000)
Te (0.6896, 0.6896, 0.0000)
Te (0.8980, 0.8980, 0.0000)
Se (0.5000, 0.5000, 0.0000)

Energy relative to the elements, uncorrected, meV per atom: -1406
Density, g cm⁻³: 6.026



No. 7
The following is a DFT calculation (GGA-PBE) of Nd4Ho5Mg after structural relaxation.

a b c (Å): 8.1255 8.1255 8.1255
angles (deg): 97.25 97.25 138.39
Sites, in units of the cell vectors:
Nd (0.0000, 0.3171, 0.3171)
Nd (0.0000, 0.6829, 0.6829)
Nd (0.3171, 0.0000, 0.3171)
Nd (0.6829, 0.0000, 0.6829)
Ho (0.3269, 0.3269, 0.6304)
Ho (0.3269, 0.6966, 0.0000)
Ho (0.6966, 0.3269, 0.0000)
Ho (0.6966, 0.6966, 0.3696)
Ho (0.7988, 0.7988, 0.0000)
Mg (0.2807, 0.2807, 0.0000)

Formation energy from the elements, meV per atom: 175
Energy above the lowest structure with this stoichiometry, meV/atom: 85
Density, g cm⁻³: 7.110



No. 8
The following is a DFT calculation (GGA-PBE) of Pr7DyHo4 after structural relaxation.

a b c (Å): 6.3603 7.3260 9.0426
angles (deg): 89.95 76.50 89.97
Sites, in units of the cell vectors:
Pr (0.0000, 0.0000, 0.0000)
Pr (0.2217, 0.5002, 0.3346)
Pr (0.2800, 0.7512, 0.6656)
Pr (0.4989, 0.2475, 0.9975)
Pr (0.5011, 0.7525, 0.0025)
Pr (0.7200, 0.2488, 0.3344)
Pr (0.7783, 0.4998, 0.6654)
Dy (0.0000, 0.5000, 0.0000)
Ho (0.2197, 0.9998, 0.3361)
Ho (0.2769, 0.2464, 0.6673)
Ho (0.7231, 0.7536, 0.3327)
Ho (0.7803, 0.0002, 0.6639)

Formation energy from the elements, meV per atom: 8
Energy above the lowest structure with this stoichiometry, meV/atom: 0
Density, g cm⁻³: 7.330



No. 9
The following is a DFT calculation (GGA-PBE) of Nd6PS12 after structural relaxation.

a b c (Å): 7.8941 7.8941 7.8941
angles (deg): 98.31 98.31 98.31
Sites, in units of the cell vectors:
Nd (0.1378, 0.3008, 0.6339)
Nd (0.3008, 0.6339, 0.1378)
Nd (0.3661, 0.8622, 0.6992)
Nd (0.6339, 0.1378, 0.3008)
Nd (0.6992, 0.3661, 0.8622)
Nd (0.8622, 0.6992, 0.3661)
P (0.0000, 0.0000, 0.0000)
S (0.0191, 0.9489, 0.7048)
S (0.0511, 0.2952, 0.9809)
S (0.1788, 0.5841, 0.4406)
S (0.2952, 0.9809, 0.0511)
S (0.4159, 0.5594, 0.8212)
S (0.4406, 0.1788, 0.5841)
S (0.5594, 0.8212, 0.4159)
S (0.5841, 0.4406, 0.1788)
S (0.7048, 0.0191, 0.9489)
S (0.8212, 0.4159, 0.5594)
S (0.9489, 0.7048, 0.0191)
S (0.9809, 0.0511, 0.2952)

Energy relative to the elements, uncorrected, meV per atom: -1519
Density, g cm⁻³: 4.481



No. 10
The following is a DFT calculation (GGA-PBE) of SrMn2Au after structural relaxation.

a b c (Å): 6.0094 6.0094 6.0094
angles (deg): 147.22 129.31 61.69
Sites, in units of the cell vectors:
Sr (0.0000, 0.0000, 0.0000)
Mn (0.2878, 0.7878, 0.5000)
Mn (0.7122, 0.2122, 0.5000)
Au (0.5000, 0.5000, 0.0000)

Formation energy from the elements, meV per atom: 304
Density, g cm⁻³: 7.276



No. 11
The following is a DFT calculation (GGA-PBE) of DyTmSc after structural relaxation.

a b c (Å): 3.3518 3.3724 15.5557
angles (deg): 90.00 90.00 90.00
Sites, in units of the cell vectors:
Dy (0.2500, 0.2500, 0.0811)
Dy (0.7500, 0.7500, 0.9189)
Tm (0.2500, 0.7500, 0.2756)
Tm (0.7500, 0.2500, 0.7244)
Sc (0.2500, 0.7500, 0.5730)
Sc (0.7500, 0.2500, 0.4270)

Formation energy from the elements, meV per atom: 170
Energy above the lowest structure with this stoichiometry, meV/atom: 153
Density, g cm⁻³: 7.109



No. 12
The following is a DFT calculation (GGA-PBE) of Cr2InP after structural relaxation.

a b c (Å): 4.5391 4.5391 4.5391
angles (deg): 60.00 60.00 60.00
Sites, in units of the cell vectors:
Cr (0.0000, 0.0000, 0.0000)
Cr (0.2500, 0.2500, 0.2500)
In (0.5000, 0.5000, 0.5000)
P (0.7500, 0.7500, 0.7500)

Formation energy from the elements, meV per atom: 461
Energy above the lowest structure with this stoichiometry, meV/atom: 436
Density, g cm⁻³: 6.272